The following is a GGA-PBE calculation of a geometry-optimized CaHg2As structure, from the Alexandria database.

Properties
* formation enthalpy at 0 K: -0.3195 eV/atom
* crystal system: tetragonal
* magnetic moment: 0.00 μB per formula unit
* calculated density: 8.76 g/cm³
* density of states at the Fermi level: 1.80 states/eV/cell

```
data_CaHg2As
_space_group_name_H-M_alt 'P 1'
_space_group_IT_number 1
_space_group_name_Hall 'P 1'
_cell_length_a 5.603
_cell_length_b 5.603
_cell_length_c 5.603
_cell_angle_alpha 131.04
_cell_angle_beta 131.04
_cell_angle_gamma 71.75
loop_
_atom_site_label
_atom_site_fract_x
_atom_site_fract_y
_atom_site_fract_z
Ca1 0.000 0.000 0.000
Hg1 0.250 0.750 0.500
Hg2 0.500 0.500 0.000
As1 0.750 0.250 0.500
```



The following is a GGA-PBE calculation of a geometry-optimized Ca2HgAs structure, from the Alexandria database.

Properties
* formation enthalpy at 0 K: -0.4074 eV/atom
* crystal system: tetragonal
* magnetic moment: 0.00 μB per formula unit
* calculated density: 4.13 g/cm³
* density of states at the Fermi level: 1.69 states/eV/cell

```
data_Ca2HgAs
_space_group_name_H-M_alt 'P 1'
_space_group_IT_number 1
_space_group_name_Hall 'P 1'
_cell_length_a 9.603
_cell_length_b 9.603
_cell_length_c 9.603
_cell_angle_alpha 145.30
_cell_angle_beta 145.30
_cell_angle_gamma 49.89
loop_
_atom_site_label
_atom_site_fract_x
_atom_site_fract_y
_atom_site_fract_z
Ca1 0.089 0.625 0.964
Ca2 0.375 0.339 0.464
Ca3 0.661 0.125 0.036
Ca4 0.875 0.911 0.536
Hg1 0.250 0.750 0.500
Hg2 0.500 0.500 0.000
As1 0.000 0.000 0.000
As2 0.750 0.250 0.500
```



The following is a GGA-PBE calculation of a geometry-optimized CaHg2As structure, from the Alexandria database.

Properties
* formation enthalpy at 0 K: -0.3518 eV/atom
* crystal system: cubic
* magnetic moment: 0.00 μB per formula unit
* calculated density: 8.66 g/cm³
* density of states at the Fermi level: 1.16 states/eV/cell

```
data_CaHg2As
_space_group_name_H-M_alt 'P 1'
_space_group_IT_number 1
_space_group_name_Hall 'P 1'
_cell_length_a 5.193
_cell_length_b 5.193
_cell_length_c 5.193
_cell_angle_alpha 60.00
_cell_angle_beta 60.00
_cell_angle_gamma 60.00
loop_
_atom_site_label
_atom_site_fract_x
_atom_site_fract_y
_atom_site_fract_z
Ca1 0.000 0.000 0.000
Hg1 0.250 0.250 0.250
Hg2 0.500 0.500 0.500
As1 0.750 0.750 0.750
```



The following is a GGA-PBE calculation of a geometry-optimized Ca2HgAs structure, from the Alexandria database.

Properties
* formation enthalpy at 0 K: -0.8359 eV/atom
* crystal system: trigonal
* magnetic moment: 0.00 μB per formula unit
* calculated density: 4.91 g/cm³
* density of states at the Fermi level: 1.14 states/eV/cell

```
data_Ca2HgAs
_space_group_name_H-M_alt 'P 1'
_space_group_IT_number 1
_space_group_name_Hall 'P 1'
_cell_length_a 7.636
_cell_length_b 7.636
_cell_length_c 7.636
_cell_angle_alpha 33.44
_cell_angle_beta 33.44
_cell_angle_gamma 33.44
loop_
_atom_site_label
_atom_site_fract_x
_atom_site_fract_y
_atom_site_fract_z
Ca1 0.000 0.000 0.000
Ca2 0.199 0.199 0.199
Hg1 0.764 0.764 0.764
As1 0.602 0.602 0.602
```



| no. | calculated total energy (eV per formula unit) |
| --- | --- |
| 1 | -8.5 |
| 2 | -10.6 |
| 3 | -8.7 |
| 4 | -12.3 |